{"formula": "Tm3Ag2Au3", "functional": "PBE-GGA", "state": "relaxed", "ef_mev_per_atom": -572, "lattice_angstrom": [[7.360, 0.000, 0.000], [-3.680, 6.374, 0.000], [0.000, 0.000, 3.756]], "species": ["Tm", "Tm", "Tm", "Ag", "Ag", "Au", "Au", "Au"], "fractional_positions": [[0.000, 0.634, 0.000], [0.366, 0.366, 0.000], [0.634, 0.000, 0.000], [0.333, 0.667, 0.500], [0.667, 0.333, 0.500], [0.000, 0.242, 0.500], [0.242, 0.000, 0.500], [0.758, 0.758, 0.500]]}